No. 1
# Ho2HgAu, optimized geometry, DFT PBE
# Formation energy from the elements (kJ/mol of formula units): -262
data_Ho2HgAu
_cell_length_a 5.1619
_cell_length_b 3.6296
_cell_length_c 10.3333
_cell_angle_alpha 90.00
_cell_angle_beta 90.00
_cell_angle_gamma 90.00
_space_group_name_H-M_alt 'P m m a'
_space_group_IT_number 51
loop_
_space_group_symop_operation_xyz
'x,y,z'
'-x,-y,-z'
'-x+1/2,-y,z'
'x+1/2,y,-z'
'x+1/2,-y,-z'
'-x+1/2,y,z'
'-x,y,-z'
'x,-y,z'
loop_
_atom_site_label
_atom_site_type_symbol
_atom_site_fract_x
_atom_site_fract_y
_atom_site_fract_z
Ho1 Ho 0.2500 0.0000 0.1179
Ho2 Ho 0.2500 0.0000 0.6369
Hg1 Hg 0.2500 0.5000 0.3823
Au1 Au 0.2500 0.5000 0.8754


No. 2
# MnCo2Mo, optimized geometry, DFT PBE
# Formation energy from the elements (kJ/mol of formula units): 39
data_MnCo2Mo
_cell_length_a 2.5489
_cell_length_b 2.5489
_cell_length_c 7.2754
_cell_angle_alpha 90.00
_cell_angle_beta 90.00
_cell_angle_gamma 90.00
_space_group_name_H-M_alt 'P 4/m m m'
_space_group_IT_number 123
_space_group_name_Hall '-P 4 2'
loop_
_atom_site_label
_atom_site_type_symbol
_atom_site_fract_x
_atom_site_fract_y
_atom_site_fract_z
Mn1 Mn 0.0000 0.0000 0.0000
Co1 Co 0.5000 0.5000 0.2255
Mo1 Mo 0.0000 0.0000 0.5000


No. 3
# Mg2CrOs, optimized geometry, DFT PBE
# Formation energy from the elements (kJ/mol of formula units): 155
data_Mg2CrOs
_cell_length_a 2.7666
_cell_length_b 4.2547
_cell_length_c 5.5630
_cell_angle_alpha 90.00
_cell_angle_beta 90.00
_cell_angle_gamma 90.00
_space_group_name_H-M_alt 'P m m m'
_space_group_IT_number 47
loop_
_space_group_symop_operation_xyz
'x,y,z'
'-x,-y,-z'
'-x,-y,z'
'x,y,-z'
'x,-y,-z'
'-x,y,z'
'-x,y,-z'
'x,-y,z'
loop_
_atom_site_label
_atom_site_type_symbol
_atom_site_fract_x
_atom_site_fract_y
_atom_site_fract_z
Mg1 Mg 0.0000 0.0000 0.2401
Cr1 Cr 0.5000 0.5000 0.5000
Os1 Os 0.5000 0.5000 0.0000


No. 4
# PuTaAlOs, optimized geometry, DFT PBE
# Formation energy from the elements (kJ/mol of formula units): 39
data_PuTaAlOs
_cell_length_a 6.5872
_cell_length_b 6.5872
_cell_length_c 6.5872
_cell_angle_alpha 90.00
_cell_angle_beta 90.00
_cell_angle_gamma 90.00
_space_group_name_H-M_alt 'F -4 3 m'
_space_group_IT_number 216
_space_group_name_Hall 'F -4 2 3'
loop_
_atom_site_label
_atom_site_type_symbol
_atom_site_fract_x
_atom_site_fract_y
_atom_site_fract_z
Pu1 Pu 0.0000 0.0000 0.0000
Ta1 Ta 0.2500 0.2500 0.2500
Al1 Al 0.2500 0.2500 0.7500
Os1 Os 0.0000 0.0000 0.5000


No. 5
# BaAsIr2, optimized geometry, DFT PBE
# Formation energy from the elements (kJ/mol of formula units): -86
data_BaAsIr2
_cell_length_a 4.3833
_cell_length_b 4.3833
_cell_length_c 17.2510
_cell_angle_alpha 90.00
_cell_angle_beta 90.00
_cell_angle_gamma 120.00
_space_group_name_H-M_alt 'R -3 m'
_space_group_IT_number 166
_space_group_name_Hall '-R 3 2"'
loop_
_atom_site_label
_atom_site_type_symbol
_atom_site_fract_x
_atom_site_fract_y
_atom_site_fract_z
Ba1 Ba 0.0000 0.0000 0.0000
As1 As 0.0000 0.0000 0.5000
Ir1 Ir 0.0000 0.0000 0.1922


No. 6
# Be2ZnSe, optimized geometry, DFT PBE
# E_form (uncorrected) (eV/atom): 0.529
data_Be2ZnSe
_cell_length_a 4.0558
_cell_length_b 4.0558
_cell_length_c 3.3581
_cell_angle_alpha 90.00
_cell_angle_beta 90.00
_cell_angle_gamma 90.00
_space_group_name_H-M_alt 'P 4/m m m'
_space_group_IT_number 123
_space_group_name_Hall '-P 4 2'
loop_
_atom_site_label
_atom_site_type_symbol
_atom_site_fract_x
_atom_site_fract_y
_atom_site_fract_z
Be1 Be 0.0000 0.5000 0.0000
Zn1 Zn 0.0000 0.0000 0.5000
Se1 Se 0.5000 0.5000 0.5000


No. 7
# CaAs2P2Pd7, optimized geometry, DFT PBE
# Formation energy from the elements (kJ/mol of formula units): -468
data_CaAs2P2Pd7
_cell_length_a 5.9599
_cell_length_b 7.1181
_cell_length_c 10.8315
_cell_angle_alpha 90.00
_cell_angle_beta 104.67
_cell_angle_gamma 90.00
_space_group_name_H-M_alt 'C 1 2/m 1'
_space_group_IT_number 12
loop_
_space_group_symop_operation_xyz
'x,y,z'
'-x,-y,-z'
'-x,y,-z'
'x,-y,z'
'x+1/2,y+1/2,z'
'-x+1/2,-y+1/2,-z'
'-x+1/2,y+1/2,-z'
'x+1/2,-y+1/2,z'
loop_
_atom_site_label
_atom_site_type_symbol
_atom_site_fract_x
_atom_site_fract_y
_atom_site_fract_z
Ca1 Ca 0.0000 0.0000 0.0000
As1 As 0.1493 0.0000 0.3409
P1 P 0.0024 0.5000 0.7809
Pd1 Pd 0.0000 0.5000 0.0000
Pd2 Pd 0.1821 0.2062 0.7897
Pd3 Pd 0.2331 0.0000 0.5758


No. 8
# ReAgBr2, optimized geometry, DFT PBE
# E_form (uncorrected) (eV/atom): 0.795
data_ReAgBr2
_cell_length_a 3.0707
_cell_length_b 4.2254
_cell_length_c 6.5085
_cell_angle_alpha 90.00
_cell_angle_beta 101.51
_cell_angle_gamma 90.00
_space_group_name_H-M_alt 'P 1 2/m 1'
_space_group_IT_number 10
loop_
_space_group_symop_operation_xyz
'x,y,z'
'-x,-y,-z'
'-x,y,-z'
'x,-y,z'
loop_
_atom_site_label
_atom_site_type_symbol
_atom_site_fract_x
_atom_site_fract_y
_atom_site_fract_z
Re1 Re 0.0000 0.0000 0.0000
Ag1 Ag 0.5000 0.0000 0.5000
Br1 Br 0.0491 0.5000 0.2323


No. 9
# NaLiGe4, optimized geometry, DFT PBE
# Formation energy from the elements (kJ/mol of formula units): 33
data_NaLiGe4
_cell_length_a 7.9428
_cell_length_b 7.9428
_cell_length_c 7.9428
_cell_angle_alpha 90.00
_cell_angle_beta 90.00
_cell_angle_gamma 90.00
_space_group_name_H-M_alt 'F -4 3 m'
_space_group_IT_number 216
_space_group_name_Hall 'F -4 2 3'
loop_
_atom_site_label
_atom_site_type_symbol
_atom_site_fract_x
_atom_site_fract_y
_atom_site_fract_z
Na1 Na 0.0000 0.0000 0.0000
Li1 Li 0.2500 0.2500 0.2500
Ge1 Ge 0.1246 0.1246 0.6246


No. 10
# AlInGa3, optimized geometry, DFT PBE
# Formation energy from the elements (kJ/mol of formula units): 33
data_AlInGa3
_cell_length_a 10.2421
_cell_length_b 6.6662
_cell_length_c 6.4920
_cell_angle_alpha 90.00
_cell_angle_beta 110.78
_cell_angle_gamma 90.00
_space_group_name_H-M_alt 'C 1 2/m 1'
_space_group_IT_number 12
loop_
_space_group_symop_operation_xyz
'x,y,z'
'-x,-y,-z'
'-x,y,-z'
'x,-y,z'
'x+1/2,y+1/2,z'
'-x+1/2,-y+1/2,-z'
'-x+1/2,y+1/2,-z'
'x+1/2,-y+1/2,z'
loop_
_atom_site_label
_atom_site_type_symbol
_atom_site_fract_x
_atom_site_fract_y
_atom_site_fract_z
Al1 Al 0.1406 0.0000 0.4872
In1 In 0.1229 0.5000 0.7211
Ga1 Ga 0.1064 0.0000 0.8752
Ga2 Ga 0.1293 0.2957 0.1927


No. 11
# InFe2Pb, optimized geometry, DFT PBE
# Formation energy from the elements (kJ/mol of formula units): 108
data_InFe2Pb
_cell_length_a 3.1467
_cell_length_b 3.1467
_cell_length_c 7.9971
_cell_angle_alpha 90.00
_cell_angle_beta 90.00
_cell_angle_gamma 90.00
_space_group_name_H-M_alt 'P 4 m m'
_space_group_IT_number 99
loop_
_space_group_symop_operation_xyz
'x,y,z'
'-y,x,z'
'-x,-y,z'
'y,-x,z'
'-x,y,z'
'y,x,z'
'x,-y,z'
'-y,-x,z'
loop_
_atom_site_label
_atom_site_type_symbol
_atom_site_fract_x
_atom_site_fract_y
_atom_site_fract_z
In1 In 0.0000 0.0000 0.0000
Fe1 Fe 0.0000 0.0000 0.6418
Fe2 Fe 0.5000 0.5000 0.7775
Pb1 Pb 0.5000 0.5000 0.3902


No. 12
# Nd2Dy4HoTm, optimized geometry, DFT PBE
# Formation energy from the elements (kJ/mol of formula units): 320
data_Nd2Dy4HoTm
_cell_length_a 13.6206
_cell_length_b 13.2789
_cell_length_c 6.8120
_cell_angle_alpha 90.00
_cell_angle_beta 120.01
_cell_angle_gamma 90.00
_space_group_name_H-M_alt 'C 1 2/c 1'
_space_group_IT_number 15
loop_
_space_group_symop_operation_xyz
'x,y,z'
'-x,-y,-z'
'-x,y,-z+1/2'
'x,-y,z+1/2'
'x+1/2,y+1/2,z'
'-x+1/2,-y+1/2,-z'
'-x+1/2,y+1/2,-z+1/2'
'x+1/2,-y+1/2,z+1/2'
loop_
_atom_site_label
_atom_site_type_symbol
_atom_site_fract_x
_atom_site_fract_y
_atom_site_fract_z
Nd1 Nd 0.0000 0.0000 0.0000
Nd2 Nd 0.2500 0.2500 0.0000
Dy1 Dy 0.0024 0.2553 0.5011
Dy2 Dy 0.2454 0.4980 0.4951
Ho1 Ho 0.2500 0.2500 0.5000
Tm1 Tm 0.0000 0.5000 0.0000


No. 13
# DyBi2Pd, optimized geometry, DFT PBE
# Formation energy from the elements (kJ/mol of formula units): -28
data_DyBi2Pd
_cell_length_a 3.5396
_cell_length_b 3.5396
_cell_length_c 31.0852
_cell_angle_alpha 90.00
_cell_angle_beta 90.00
_cell_angle_gamma 120.00
_space_group_name_H-M_alt 'R -3 m'
_space_group_IT_number 166
_space_group_name_Hall '-R 3 2"'
loop_
_atom_site_label
_atom_site_type_symbol
_atom_site_fract_x
_atom_site_fract_y
_atom_site_fract_z
Dy1 Dy 0.0000 0.0000 0.0000
Bi1 Bi 0.0000 0.0000 0.1018
Pd1 Pd 0.0000 0.0000 0.5000


Number 1: D(E_F) 0.587 states/eV per atom, energy -3.8616 eV per atom. Number 2: D(E_F) 1.190 states/eV per atom, energy -8.4528 eV per atom. Number 3: D(E_F) 0.627 states/eV per atom, energy -5.6102 eV per atom. Number 4: D(E_F) 2.393 states/eV per atom, energy -10.1894 eV per atom. Number 5: D(E_F) 0.891 states/eV per atom, energy -6.2975 eV per atom. Number 6: D(E_F) 0.192 states/eV per atom, energy -2.5236 eV per atom. Number 7: D(E_F) 0.343 states/eV per atom, energy -5.2765 eV per atom. Number 8: D(E_F) 0.467 states/eV per atom, energy -3.8665 eV per atom. Number 9: D(E_F) 1.187 states/eV per atom, energy -3.5599 eV per atom. Number 10: D(E_F) 0.258 states/eV per atom, energy -3.0436 eV per atom. Number 11: D(E_F) 0.778 states/eV per atom, energy -5.5623 eV per atom. Number 12: D(E_F) 2.273 states/eV per atom, energy -4.2096 eV per atom. Number 13: D(E_F) 0.901 states/eV per atom, energy -4.4620 eV per atom.